[1]
A plane-wave DFT calculation with PBE was carried out for a relaxed Dy3Ho12Al crystal.

The structure belongs to space group P4/mmm (No. 123); the cell edges are 4.9095, 4.9095 and 19.9096 Å and the angles 90.00°, 90.00° and 90.00°. The asymmetric unit holds Dy at (0.0000, 0.0000, 0.0000), Dy at (0.0000, 0.0000, 0.2537), Ho at (0.0000, 0.5000, 0.1278), Ho at (0.0000, 0.5000, 0.3827), Ho at (0.5000, 0.5000, 0.0000), Ho at (0.5000, 0.5000, 0.2574), Ho at (0.5000, 0.5000, 0.5000) and Al at (0.0000, 0.0000, 0.5000).

The value obtained for the density of states at the Fermi level is 1.2292 states/eV per atom. The total magnetic moment comes out at 0.000 Bohr magnetons per cell. The value obtained for the total energy is -4.55 eV per atom.

[2]
A plane-wave DFT calculation with PBE was carried out for a relaxed DyHo2Al crystal.

The structure belongs to space group P4/mmm (No. 123); the cell edges are 4.7427, 4.7427 and 4.7472 Å and the angles 90.00°, 90.00° and 90.00°. The asymmetric unit holds Dy at (0.0000, 0.0000, 0.0000), Ho at (0.0000, 0.5000, 0.5000) and Al at (0.5000, 0.5000, 0.0000).

The value obtained for the density of states at the Fermi level is 1.3488 states/eV per atom. As for the energy above the most stable polymorph in this dataset: 0.009 eV/atom. The total magnetic moment comes out at 0.000 Bohr magnetons per cell. The value obtained for the total energy is -4.57 eV per atom.

[3]
A plane-wave DFT calculation with PBE was carried out for a relaxed Dy2HoAl6 crystal.

The structure belongs to space group P6/mmm (No. 191); the cell edges are 7.9029, 7.9029 and 3.4661 Å and the angles 90.00°, 90.00° and 120.00°. The asymmetric unit holds Dy at (0.3333, 0.6667, 0.0000), Ho at (0.0000, 0.0000, 0.0000) and Al at (0.0000, 0.3331, 0.5000).

The value obtained for the density of states at the Fermi level is 0.1998 states/eV per atom. As for the energy above the most stable polymorph in this dataset: 0.000 eV/atom. The total magnetic moment comes out at 0.000 Bohr magnetons per cell. The value obtained for the total energy is -4.52 eV per atom.